Entry w
A crystal of K3Br relaxed with PBEsol, computed with meta-GGA SCAN.

abc: 4.234 4.375 11.703
angles: 90.00 90.00 90.00
Element x y z (fractional)
K 0.000 0.500 0.464
K 0.500 0.500 0.103
K 0.500 0.000 0.773
Br 0.000 0.000 0.993

## Properties
- SG = Pmm2, No. 25
- ρ (g/cm3) = 1.51



Entry x
A crystal of K3Br relaxed with PBEsol, computed with meta-GGA SCAN.

abc: 4.535 4.535 11.874
angles: 90.00 90.00 120.00
Element x y z (fractional)
K 0.000 0.000 0.500
K 0.333 0.667 0.830
K 0.333 0.667 0.170
Br 0.000 0.000 0.000

## Properties
- SG = P-6m2, No. 187
- ρ (g/cm3) = 1.55



Entry y
A crystal of K3Br relaxed with PBEsol, computed with meta-GGA SCAN.

abc: 4.106 4.106 11.535
angles: 90.00 90.00 90.00
Element x y z (fractional)
K 0.500 0.500 0.835
K 0.000 0.000 0.500
K 0.500 0.500 0.165
Br 0.000 0.000 0.000

## Properties
- SG = P4/mmm, No. 123
- ρ (g/cm3) = 1.68



Entry z
A crystal of K3Br relaxed with PBEsol, computed with meta-GGA SCAN.

abc: 4.580 4.570 12.082
angles: 100.68 90.00 120.07
Element x y z (fractional)
K 0.500 0.000 0.500
K 0.279 0.558 0.833
K 0.721 0.442 0.167
Br 0.000 0.000 0.000

## Properties
- SG = C2/m, No. 12
- ρ (g/cm3) = 1.53



Stability ranking, top entry: entry z; the second entry is 11 meV/atom less favorable.



Entry w
A crystal of K2Br3 relaxed with PBEsol, computed with meta-GGA SCAN.

abc: 5.552 5.552 6.583
angles: 90.00 90.00 120.00
Site moments in Bohr magnetons follow the coordinates.
Element x y z (fractional)
Br 0.000 0.000 0.000  0.34
Br 0.333 0.667 0.289  0.21
Br 0.667 0.333 0.711  0.21
K 0.333 0.667 0.784  0.00
K 0.667 0.333 0.216  0.00

## Properties
- SG = P-3m1, No. 164
- ρ (g/cm3) = 3.00



Entry x
A crystal of K2Br3 relaxed with PBEsol, computed with meta-GGA SCAN.

abc: 5.088 5.088 8.217
angles: 71.97 71.97 60.00
Element x y z (fractional)
Br 0.000 0.000 0.000
Br 0.171 0.171 0.486
Br 0.829 0.829 0.514
K 0.589 0.589 0.232
K 0.411 0.411 0.768

## Properties
- SG = R-3m, No. 166
- ρ (g/cm3) = 3.07



Stability ranking, top entry: entry w; the second entry is 31 meV/atom less favorable.



Entry w
A crystal of K2Br relaxed with PBEsol, computed with meta-GGA SCAN.

abc: 4.561 4.561 7.946
angles: 90.00 90.00 120.00
Element x y z (fractional)
K 0.667 0.333 0.248
K 0.333 0.667 0.752
Br 0.000 0.000 0.000

## Properties
- SG = P-3m1, No. 164
- ρ (g/cm3) = 1.83



Entry x
A crystal of K2Br relaxed with PBEsol, computed with meta-GGA SCAN.

abc: 4.028 4.028 16.085
angles: 97.19 97.19 90.00
Element x y z (fractional)
Br 0.250 0.750 0.500
Br 0.000 0.000 0.000
K 0.811 0.311 0.622
K 0.439 0.439 0.878
K 0.689 0.189 0.378
K 0.561 0.561 0.122

## Properties
- SG = I4_1/amd, No. 141
- ρ (g/cm3) = 2.04



Stability ranking, top entry: entry w; the second entry is 36 meV/atom less favorable.



Entry w
A crystal of K2Br relaxed with PBEsol, computed with meta-GGA SCAN.

abc: 4.038 4.038 8.283
angles: 104.11 104.11 90.00
Element x y z (fractional)
Br 0.000 0.000 0.000
K 0.624 0.624 0.247
K 0.376 0.376 0.753

## Properties
- SG = I4/mmm, No. 139
- ρ (g/cm3) = 2.07



Entry x
A crystal of K2Br relaxed with PBEsol, computed with meta-GGA SCAN.

abc: 7.308 7.308 7.308
angles: 60.00 60.00 60.00
Element x y z (fractional)
Br 0.500 0.500 0.500
Br 0.750 0.750 0.750
K 0.125 0.125 0.125
K 0.125 0.125 0.625
K 0.125 0.625 0.125
K 0.625 0.125 0.125

## Properties
- SG = Fd-3m, No. 227
- ρ (g/cm3) = 1.90



Entry y
A crystal of K2Br relaxed with PBEsol, computed with meta-GGA SCAN.

abc: 4.604 6.661 9.663
angles: 90.00 103.78 90.00
Element x y z (fractional)
K 0.181 0.750 0.362
K 0.429 0.750 0.858
K 0.571 0.250 0.142
K 0.819 0.250 0.638
Br 0.803 0.750 0.606
Br 0.197 0.250 0.394

## Properties
- SG = Cmcm, No. 63
- ρ (g/cm3) = 1.82



Stability ranking, top entry: entry y; the second entry is 14 meV/atom less favorable.



Entry w
A crystal of KLi2Br relaxed with PBEsol, computed with meta-GGA SCAN.

abc: 4.125 4.056 7.083
angles: 106.65 90.00 90.00
Element x y z (fractional)
K 0.500 0.415 0.705
Br 0.000 0.782 0.440
Li 0.000 0.133 0.141
Li 0.500 0.670 0.214

## Properties
- SG = Amm2, No. 38
- ρ (g/cm3) = 1.94



Entry x
A crystal of KLi2Br relaxed with PBEsol, computed with meta-GGA SCAN.

abc: 4.350 4.579 6.176
angles: 90.00 90.00 90.38
Element x y z (fractional)
K 0.500 0.000 0.500
Br 0.000 0.500 0.500
Li 0.225 0.270 0.000
Li 0.775 0.730 0.000

## Properties
- SG = P2/m, No. 10
- ρ (g/cm3) = 1.79



Stability ranking, top entry: entry w; the second entry is 134 meV/atom less favorable.



Entry w
A crystal of K2LiBr relaxed with PBEsol, computed with meta-GGA SCAN.

abc: 4.016 4.272 10.367
angles: 101.89 101.17 90.00
Element x y z (fractional)
Br 0.705 0.205 0.409
K 0.075 0.075 0.150
K 0.277 0.777 0.554
Li 0.444 0.444 0.887

## Properties
- SG = Imm2, No. 44
- ρ (g/cm3) = 1.61



Entry x
A crystal of K2LiBr relaxed with PBEsol, computed with meta-GGA SCAN.

abc: 4.346 7.365 7.365
angles: 65.80 72.84 72.84
Element x y z (fractional)
Br 0.000 0.500 0.500
K 0.308 0.692 0.692
K 0.692 0.308 0.308
Li 0.500 0.000 0.000

## Properties
- SG = Immm, No. 71
- ρ (g/cm3) = 1.36



Stability ranking, top entry: entry w; the second entry is 156 meV/atom less favorable.



Entry w
A crystal of KMn2Br relaxed with PBEsol, computed with meta-GGA SCAN.

abc: 3.191 6.319 6.319
angles: 60.41 75.37 75.37
Site moments in Bohr magnetons follow the coordinates.
Element x y z (fractional)
Br 0.449 0.551 0.551  0.06
K 0.223 0.277 0.277  -0.01
Mn 0.067 0.933 0.933  4.18
Mn 0.762 0.738 0.738  3.97

## Properties
- SG = Imm2, No. 44
- ρ (g/cm3) = 3.59



Entry x
A crystal of KMn2Br relaxed with PBEsol, computed with meta-GGA SCAN.

abc: 5.320 5.274 5.320
angles: 59.71 90.00 120.29
Site moments in Bohr magnetons follow the coordinates.
Element x y z (fractional)
Br 0.500 0.000 0.500  0.09
K 0.750 0.500 0.750  0.01
Mn 0.000 0.000 0.000  4.49
Mn 0.250 0.500 0.250  4.53

## Properties
- SG = I-4m2, No. 119
- ρ (g/cm3) = 3.63



Stability ranking, top entry: entry w; the second entry is 137 meV/atom less favorable.



Entry w
A crystal of KMoBr2 relaxed with PBEsol, computed with meta-GGA SCAN.

abc: 4.618 4.618 6.760
angles: 75.78 75.78 64.87
Site moments in Bohr magnetons follow the coordinates.
Element x y z (fractional)
Br 0.222 0.222 0.724  0.05
Br 0.778 0.778 0.276  0.05
K 0.500 0.500 0.000  0.01
Mo 0.000 0.000 0.500  4.11

## Properties
- SG = C2/m, No. 12
- ρ (g/cm3) = 3.92



Entry x
A crystal of KMoBr2 relaxed with PBEsol, computed with meta-GGA SCAN.

abc: 5.271 5.271 5.271
angles: 60.00 60.00 60.00
Site moments in Bohr magnetons follow the coordinates.
Element x y z (fractional)
Mo 0.500 0.500 0.500  4.27
K 0.000 0.000 0.000  0.02
Br 0.250 0.250 0.250  0.04
Br 0.750 0.750 0.750  0.04

## Properties
- SG = Fm-3m, No. 225
- ρ (g/cm3) = 4.73



Entry y
A crystal of KMoBr2 relaxed with PBEsol, computed with meta-GGA SCAN.

abc: 6.095 6.095 8.116
angles: 112.06 112.06 90.00
Site moments in Bohr magnetons follow the coordinates.
Element x y z (fractional)
Mo 0.250 0.750 0.500  0.75
Mo 0.000 0.000 0.000  0.75
K 0.750 0.250 0.500  0.00
K 0.500 0.500 0.000  0.00
Br 0.978 0.375 0.250  0.01
Br 0.272 0.875 0.250  0.01
Br 0.625 0.728 0.750  0.01
Br 0.125 0.022 0.750  0.01

## Properties
- SG = I-42d, No. 122
- ρ (g/cm3) = 3.83



Entry z
A crystal of KMoBr2 relaxed with PBEsol, computed with meta-GGA SCAN.

abc: 3.646 5.104 5.525
angles: 90.00 90.00 90.00
Site moments in Bohr magnetons follow the coordinates.
Element x y z (fractional)
Br 0.000 0.000 0.000  0.05
Br 0.000 0.500 0.500  0.03
K 0.500 0.500 0.000  0.01
Mo 0.500 0.000 0.500  4.25

## Properties
- SG = Pmmm, No. 47
- ρ (g/cm3) = 4.76



Stability ranking, top entry: entry w; the second entry is 119 meV/atom less favorable.



Entry w
A crystal of KP2Br relaxed with PBEsol, computed with meta-GGA SCAN.

abc: 3.655 3.655 8.255
angles: 77.21 77.21 60.00
Element x y z (fractional)
Br 0.491 0.491 0.526
K 0.250 0.250 0.249
P 0.022 0.022 0.933
P 0.736 0.736 0.792

## Properties
- SG = R3m, No. 160
- ρ (g/cm3) = 3.26



Entry x
A crystal of KP2Br relaxed with PBEsol, computed with meta-GGA SCAN.

abc: 4.764 4.776 5.909
angles: 90.00 90.00 90.00
Element x y z (fractional)
Br 0.500 0.500 0.000
K 0.500 0.500 0.500
P 0.000 0.000 0.664
P 0.000 0.000 0.336

## Properties
- SG = Pmmm, No. 47
- ρ (g/cm3) = 2.23



Stability ranking, top entry: entry w; the second entry is 112 meV/atom less favorable.



Entry w
A crystal of K2PbBr relaxed with PBEsol, computed with meta-GGA SCAN.

abc: 3.508 6.236 6.338
angles: 90.00 90.00 90.00
Element x y z (fractional)
Br 0.500 0.500 0.110
K 0.000 0.000 0.120
K 0.000 0.500 0.654
Pb 0.500 0.000 0.616

## Properties
- SG = Pmm2, No. 25
- ρ (g/cm3) = 4.37



Entry x
A crystal of K2PbBr relaxed with PBEsol, computed with meta-GGA SCAN.

abc: 5.990 5.990 5.990
angles: 60.00 60.00 60.00
Site moments in Bohr magnetons follow the coordinates.
Element x y z (fractional)
Br 0.000 0.000 0.000  0.13
K 0.250 0.250 0.250  0.04
K 0.750 0.750 0.750  0.04
Pb 0.500 0.500 0.500  0.82

## Properties
- SG = Fm-3m, No. 225
- ρ (g/cm3) = 3.99



Entry y
A crystal of K2PbBr relaxed with PBEsol, computed with meta-GGA SCAN.

abc: 4.009 4.009 10.426
angles: 78.91 78.91 60.00
Site moments in Bohr magnetons follow the coordinates.
Element x y z (fractional)
Br 0.000 0.000 0.000  0.00
K 0.263 0.263 0.211  0.01
K 0.737 0.737 0.789  0.01
Pb 0.500 0.500 0.500  0.09

## Properties
- SG = R-3m, No. 166
- ρ (g/cm3) = 4.29



Stability ranking, top entry: entry y; the second entry is 133 meV/atom less favorable.



Entry w
A crystal of K3RbBr relaxed with PBEsol, computed with meta-GGA SCAN.

abc: 7.639 7.639 7.639
angles: 90.00 90.00 90.00
Element x y z (fractional)
K 0.000 0.500 0.000
K 0.000 0.000 0.500
K 0.500 0.000 0.000
Br 0.500 0.500 0.500
Rb 0.000 0.000 0.000

## Properties
- SG = Pm-3m, No. 221
- ρ (g/cm3) = 1.05



Entry x
A crystal of K3RbBr relaxed with PBEsol, computed with meta-GGA SCAN.

abc: 6.681 6.681 6.681
angles: 90.00 90.00 90.00
Element x y z (fractional)
K 0.000 0.500 0.000
K 0.000 0.000 0.500
K 0.500 0.000 0.000
Rb 0.500 0.500 0.500
Br 0.000 0.000 0.000

## Properties
- SG = Pm-3m, No. 221
- ρ (g/cm3) = 1.57



Stability ranking, top entry: entry x; the second entry is 661 meV/atom less favorable.



Entry w
A crystal of KRe2Br relaxed with PBEsol, computed with meta-GGA SCAN.

abc: 4.597 4.597 4.597
angles: 60.00 60.00 60.00
Element x y z (fractional)
Re 0.250 0.250 0.250
Re 0.750 0.750 0.750
K 0.000 0.000 0.000
Br 0.500 0.500 0.500

## Properties
- SG = Fm-3m, No. 225
- ρ (g/cm3) = 11.88



Entry x
A crystal of KRe2Br relaxed with PBEsol, computed with meta-GGA SCAN.

abc: 2.873 2.873 10.398
angles: 82.06 82.06 60.00
Element x y z (fractional)
Br 0.500 0.500 0.500
K 0.000 0.000 0.000
Re 0.237 0.237 0.290
Re 0.763 0.763 0.710

## Properties
- SG = R-3m, No. 166
- ρ (g/cm3) = 11.12



Stability ranking, top entry: entry x; the second entry is 1311 meV/atom less favorable.